# Cu2Br3Cl

An optimized crystal structure of Cu2Br3Cl (PBE-GGA, Alexandria).

Unit cell a=9.551 b=9.551 c=12.635 alpha=122.86 beta=122.86 gamma=20.83
Fractional coordinates of all 12 atoms:
Cu 0.121 0.121 0.364
Cu 0.375 0.375 0.127
Cu 0.625 0.625 0.873
Cu 0.879 0.879 0.636
Br 0.192 0.192 0.819
Br 0.317 0.317 0.694
Br 0.437 0.437 0.571
Br 0.563 0.563 0.429
Br 0.683 0.683 0.306
Br 0.808 0.808 0.181
Cl 0.066 0.066 0.918
Cl 0.934 0.934 0.082

Summary:
- DOS at the Fermi energy (states/eV/cell) = 6.82
- symmetry = C2/m
- energy relative to the elements, uncorrected (eV per atom) = -0.34